Entry 1:
First-principles (PBE-GGA) data for a relaxed structure of Co2SnPb2, as listed in Alexandria via LeMat-Bulk.

Fermi-level density of states   11.709 states/eV per cell
Calculated formation energy   1.85 eV/f.u.
E_tot   -4.757 eV/atom
M_tot   0.531 μB/atom
Symmetry   No. 127

Geometry as POSCAR:
```
Co2SnPb2
1.0
-6.105 -3.155 0.682
3.221 -5.858 1.731
-0.132 1.147 4.128
Co Pb Sn
4 4 2
Direct
0.625 0.125 0.000
0.375 0.875 0.000
0.125 0.375 0.000
0.875 0.625 0.000
0.832 0.332 0.500
0.332 0.168 0.500
0.168 0.668 0.500
0.668 0.832 0.500
0.000 0.000 0.000
0.500 0.500 0.000
```

---

Entry 2:
First-principles (PBE-GGA) data for a relaxed structure of Ca2IrF8, as listed in Alexandria via LeMat-Bulk.

Fermi-level density of states   10.452 states/eV per cell
E_tot   -5.245 eV/atom
M_tot   0.092 μB/atom
Raw formation energy   -29.86 eV/f.u.
Symmetry   No. 164

Geometry as POSCAR:
```
Ca2IrF8
1.0
-1.607 -0.106 -4.129
5.601 3.078 -2.259
-0.270 -6.768 0.279
Ca F Ir
2 8 1
Direct
0.745 0.333 0.667
0.255 0.667 0.333
0.245 0.333 0.667
0.262 0.859 0.718
0.738 0.141 0.282
0.262 0.282 0.141
0.755 0.667 0.333
0.262 0.859 0.141
0.738 0.718 0.859
0.738 0.141 0.859
0.500 0.000 0.000
```

---

Entry 3:
First-principles (PBE-GGA) data for a relaxed structure of YSiAg2S4, as listed in Alexandria via LeMat-Bulk.

Fermi-level density of states   3.110 states/eV per cell
E_tot   -4.933 eV/atom
M_tot   0.000 μB/atom
Raw formation energy   -5.36 eV/f.u.
Symmetry   No. 74

Geometry as POSCAR:
```
YSiAg2S4
1.0
7.685 -0.124 -0.239
-0.130 7.685 -0.239
-3.884 -3.887 5.587
Si S Ag Y
2 8 4 2
Direct
0.500 0.500 0.500
0.000 0.000 0.000
0.753 0.747 0.971
0.753 0.747 0.529
0.718 0.276 0.497
0.247 0.253 0.471
0.776 0.218 0.997
0.247 0.253 0.029
0.282 0.724 0.503
0.224 0.782 0.003
0.000 0.000 0.500
0.500 0.000 0.000
0.500 0.000 0.500
0.500 0.500 0.000
0.000 0.500 0.000
0.000 0.500 0.500
```

---

Entry 4:
First-principles (PBE-GGA) data for a relaxed structure of HfZn2CoCl, as listed in Alexandria via LeMat-Bulk.

Fermi-level density of states   2.141 states/eV per cell
E_tot   -4.261 eV/atom
M_tot   0.000 μB/atom
Raw formation energy   0.15 eV/f.u.
Symmetry   No. 123

Geometry as POSCAR:
```
HfZn2CoCl
1.0
-3.152 -3.309 -0.756
1.996 -0.980 -4.033
2.737 -3.088 2.105
Hf Co Zn Cl
1 1 2 1
Direct
0.000 0.500 0.000
0.000 0.000 0.000
0.000 0.000 0.500
0.500 0.000 0.000
0.500 0.500 0.500
```

---

Entry 5:
First-principles (PBE-GGA) data for a relaxed structure of ZnCuSb2Te, as listed in Alexandria via LeMat-Bulk.

Fermi-level density of states   3.786 states/eV per cell
E_tot   -2.536 eV/atom
M_tot   0.000 μB/atom
Raw formation energy   4.08 eV/f.u.
Symmetry   No. 123

Geometry as POSCAR:
```
ZnCuSb2Te
1.0
5.161 0.000 0.000
0.000 5.161 0.000
0.000 0.000 5.369
Sb Zn Cu Te
2 1 1 1
Direct
0.500 0.000 0.000
0.000 0.500 0.000
0.000 0.000 0.000
0.500 0.500 0.500
0.000 0.000 0.500
```

---

Entry 6:
First-principles (PBE-GGA) data for a relaxed structure of AgMoW, as listed in Alexandria via LeMat-Bulk.

Fermi-level density of states   1.978 states/eV per cell
Calculated formation energy   1.56 eV/f.u.
E_tot   -8.358 eV/atom
M_tot   0.000 μB/atom
Symmetry   No. 44

Geometry as POSCAR:
```
AgMoW
1.0
-3.529 -1.022 3.372
-2.369 -4.378 -0.297
4.227 2.560 0.668
W Mo Ag
1 1 1
Direct
0.667 0.667 0.000
0.333 0.333 0.000
0.000 0.000 0.000
```